Material: TbBeO3
Method: DFT, SCAN
State: PBEsol geometry

Lattice parameters (Å, degrees): 3.537 3.537 3.537 90.00 90.00 90.00
Sites, in units of the cell vectors:
1 Be 0.500 0.500 0.500
2 Tb 0.000 0.000 0.000
3 O 0.500 0.500 0.000
4 O 0.500 0.000 0.500
5 O 0.000 0.500 0.500

Crystal system: cubic
E_form (uncorrected): -2.75 eV/atom
Energy: -16.7158 eV/atom